No. 1
The following is a PBE calculation of a geometry-optimized NdNbRe structure, from OQMD via LeMat-Bulk.

```
NdNbRe
1.0
-0.6000 -0.0189 -4.0337
2.9746 -2.7565 -0.4295
-5.2082 -5.7451 0.8016
Nb Nd Re
2 2 2
Direct
0.0000 0.5000 0.3858
0.5000 0.0000 0.6142
0.0000 0.0000 0.0000
0.5000 0.5000 0.0000
0.5000 0.0000 0.3063
0.0000 0.5000 0.6937
```

Summary:
Density ... 10.84 g/cm3
ΔH_f (0 K) ... 0.7614 eV per atom
Symmetry ... P4/nmm (129)

No. 2
The following is a PBE calculation of a geometry-optimized NdNbSb structure, from OQMD via LeMat-Bulk.

```
NdNbSb
1.0
-1.3662 -3.6525 2.9893
-4.7510 -0.6516 1.0707
-2.4157 -3.8791 -1.8055
Nb Nd Sb
1 1 1
Direct
0.5000 0.5000 0.5000
0.0000 0.0000 0.0000
0.2500 0.2500 0.2500
```

Summary:
Density ... 7.10 g/cm3
Symmetry ... F-43m (216)
Calculated total energy ... -6.28 eV per atom

No. 3
The following is a PBE calculation of a geometry-optimized NdScNb structure, from OQMD via LeMat-Bulk.

```
NdScNb
1.0
0.3079 -0.4015 4.8316
-0.9849 3.8288 2.8232
-4.0358 0.0502 2.7036
Nb Nd Sc
1 1 1
Direct
0.2500 0.2500 0.2500
0.0000 0.0000 0.0000
0.7500 0.7500 0.7500
```

Summary:
Density ... 5.78 g/cm3
ΔH_f (0 K) ... 1.2664 eV per atom
Symmetry ... F-43m (216)

No. 4
The following is a PBE calculation of a geometry-optimized NdScNb structure, from OQMD via LeMat-Bulk.

```
NdScNb
1.0
-2.9768 -1.3195 3.7006
-0.3251 2.8227 4.0278
-4.1151 2.5643 0.8869
Nb Nd Sc
1 1 1
Direct
0.0000 0.0000 0.0000
0.2500 0.2500 0.2500
0.7500 0.7500 0.7500
```

Summary:
Density ... 5.53 g/cm3
ΔH_f (0 K) ... 0.8485 eV per atom
Symmetry ... F-43m (216)

No. 5
The following is a PBE calculation of a geometry-optimized NdNbSe3 structure, from OQMD via LeMat-Bulk.

```
NdNbSe3
1.0
1.9349 -6.2688 0.0000
1.9349 6.2688 0.0000
0.0000 0.0000 9.7386
Nb Nd Se
2 2 6
Direct
0.5000 0.5000 0.0000
0.5000 0.5000 0.5000
0.7450 0.2550 0.2500
0.2550 0.7450 0.7500
0.1438 0.8562 0.0504
0.4265 0.5735 0.2500
0.1438 0.8562 0.4496
0.8562 0.1438 0.5504
0.5735 0.4265 0.7500
0.8562 0.1438 0.9496
```

Summary:
Density ... 6.66 g/cm3
Symmetry ... Cmcm (63)
Calculated total energy ... -6.26 eV per atom

No. 6
The following is a PBE calculation of a geometry-optimized NdSmNb structure, from OQMD via LeMat-Bulk.

```
NdSmNb
1.0
5.0461 0.8583 0.5972
1.8067 1.7072 4.5142
2.8066 -3.1149 2.9962
Nb Nd Sm
1 1 1
Direct
0.0000 0.0000 0.0000
0.2500 0.2500 0.2500
0.7500 0.7500 0.7500
```

Summary:
Density ... 6.65 g/cm3
ΔH_f (0 K) ... 0.8048 eV per atom
Symmetry ... F-43m (216)